# 1
Pm2Sm2DyTm: relaxed, PBE-GGA.

* total energy: -55.29 eV for the cell shown
* total moment: 0.0000 μB per atom
* DOS(E_F): 18.82 states/eV per cell
* ΔE_f: 0.4 eV/f.u.
* SG: Pmma
* calculated volume: 32.73 Å³ per atom

CIF file:
```
data_Pm2Sm2DyTm
_chemical_formula_sum 'Pm4 Sm4 Dy2 Tm2'
_symmetry_space_group_name_H-M 'P 1'
_symmetry_Int_Tables_number 1
_cell_length_a 5.6749
_cell_length_b 7.0444
_cell_length_c 9.8236
_cell_angle_alpha 90.00
_cell_angle_beta 90.00
_cell_angle_gamma 90.00
loop_
_symmetry_equiv_pos_as_xyz
'x,y,z'
loop_
_atom_site_label
_atom_site_fract_x
_atom_site_fract_y
_atom_site_fract_z
Tm1 0.0000 0.5076 0.5000
Tm2 0.0000 0.0076 0.5000
Pm1 0.0000 0.7575 0.1608
Pm2 0.5000 0.7577 0.6716
Pm3 0.5000 0.2577 0.3284
Pm4 0.0000 0.2575 0.8392
Sm1 0.0000 0.2575 0.1784
Sm2 0.0000 0.7575 0.8216
Sm3 0.5000 0.0075 0.0000
Sm4 0.5000 0.5075 0.0000
Dy1 0.5000 0.7577 0.3429
Dy2 0.5000 0.2577 0.6571
```

---

# 2
Tl4InHg: relaxed, PBE-GGA.

* total energy: -11.69 eV for the cell shown
* total moment: 0.0000 μB per atom
* DOS(E_F): 4.38 states/eV per cell
* relative energy among the computed polymorphs: 0.76 eV/f.u.
* ΔE_f: 0.8 eV/f.u.
* SG: F-43m
* calculated volume: 32.14 Å³ per atom

CIF file:
```
data_Tl4InHg
_chemical_formula_sum 'Tl4 In1 Hg1'
_symmetry_space_group_name_H-M 'P 1'
_symmetry_Int_Tables_number 1
_cell_length_a 6.4852
_cell_length_b 6.4852
_cell_length_c 6.4852
_cell_angle_alpha 60.00
_cell_angle_beta 60.00
_cell_angle_gamma 60.00
loop_
_symmetry_equiv_pos_as_xyz
'x,y,z'
loop_
_atom_site_label
_atom_site_fract_x
_atom_site_fract_y
_atom_site_fract_z
Tl1 0.8750 0.3750 0.3750
Tl2 0.3750 0.3750 0.8750
Tl3 0.3750 0.3750 0.3750
Tl4 0.3750 0.8750 0.3750
In1 0.0000 0.0000 0.0000
Hg1 0.7500 0.7500 0.7500
```